Compound: Na2Ga12Cu
Source: Alexandria via LeMat-Bulk
Functional: PBE-GGA
Structure: relaxed

Summary:
Formation energy: -97 meV per atom
Electronic total energy: -2.967 eV/atom
Symmetry: P4/nbm (125)
Theoretical density: 5.28 g cm⁻³

```
Na2Ga12Cu
1.0
6.113 0.000 0.000
0.000 6.113 0.000
0.000 0.000 15.940
Na Ga Cu
4 24 2
Direct
0.250 0.750 0.248
0.250 0.750 0.752
0.750 0.250 0.248
0.750 0.250 0.752
0.000 0.000 0.414
0.000 0.000 0.586
0.000 0.500 0.414
0.000 0.500 0.586
0.067 0.567 0.072
0.067 0.933 0.928
0.250 0.250 0.162
0.250 0.250 0.320
0.250 0.250 0.680
0.250 0.250 0.838
0.433 0.567 0.928
0.433 0.933 0.072
0.500 0.000 0.414
0.500 0.000 0.586
0.500 0.500 0.414
0.500 0.500 0.586
0.567 0.067 0.928
0.567 0.433 0.072
0.750 0.750 0.162
0.750 0.750 0.320
0.750 0.750 0.680
0.750 0.750 0.838
0.933 0.067 0.072
0.933 0.433 0.928
0.250 0.750 0.500
0.750 0.250 0.500
```